Density functional theory data (PBE) for Co2Pt2W after structural relaxation.

Calculated values
- Energy relative to the lowest polymorph listed for this composition: 1.70 eV per formula unit
- Formation enthalpy at 0 K: 290.9 meV/atom
- Space group: I4/mmm
- Fermi-level density of states: 7.275 states/eV per cell
- Size of the total moment: 3.146 μB/f.u.

abc: 3.3311 3.3311 7.1180
angles: 76.47 76.47 90.00
Each line ends with the local moment (μB).
Fractional coordinates of all 5 atoms:
1 Co 0.7500 0.2500 0.5000  1.74
2 Co 0.2500 0.7500 0.5000  1.74
3 W 0.0000 0.0000 0.0000  -0.33
4 Pt 0.3978 0.3978 0.2043  0.04
5 Pt 0.6022 0.6022 0.7957  0.04